Entry from the Alexandria database: an optimized crystal structure of Na2Pu2O7 (PBE).

The raw formation energy is -2.21 eV per atom. For the energy above the most stable polymorph in this dataset, the calculation gives 124 meV per atom. For the final energy, the calculation gives -0.302 Ha/atom. The volume is 14.0 A^3/atom.

The structure in CIF format:
```
data_Na2Pu2O7
_chemical_formula_sum 'Na4 Pu4 O14'
_cell_length_a 7.8467
_cell_length_b 6.9488
_cell_length_c 5.6381
_cell_angle_alpha 90.00
_cell_angle_beta 91.04
_cell_angle_gamma 90.00
_symmetry_space_group_name_H-M 'C 1 2/m 1'
_symmetry_Int_Tables_number 12
loop_
_symmetry_equiv_pos_as_xyz
'x,y,z'
'-x,-y,-z'
'-x,y,-z'
'x,-y,z'
'x+1/2,y+1/2,z'
'-x+1/2,-y+1/2,-z'
'-x+1/2,y+1/2,-z'
'x+1/2,-y+1/2,z'
loop_
_atom_site_label
_atom_site_fract_x
_atom_site_fract_y
_atom_site_fract_z
_atom_site_occupancy
Na1 0.0000 0.2393 0.0000 1
Pu1 0.2275 0.0000 0.4851 1
O1 0.0000 0.5000 0.5000 1
O2 0.0099 0.0000 0.2855 1
O3 0.2434 0.2470 0.7235 1
```